Arrangement 1

Entry from Alexandria via LeMat-Bulk: crystalline MnPPt3 at its relaxed geometry (PBE).

Output
Crystal system: cubic
N(E_F) (states/eV/cell): 6.5

abc: 4.5486 4.5486 4.5486
angles: 90.00 90.00 90.00
Space group Pm-3m (No. 221)
Inequivalent atoms, fractional coordinates:
Mn1 0.0000 0.0000 0.0000 x1
P1 0.5000 0.5000 0.5000 x1
Pt1 0.0000 0.0000 0.5000 x3



Arrangement 2

Entry from Alexandria via LeMat-Bulk: crystalline MnPPt3 at its relaxed geometry (PBE).

Output
Crystal system: cubic
N(E_F) (states/eV/cell): 2.7

abc: 4.5015 4.5015 4.5015
angles: 90.00 90.00 90.00
Space group Pm-3m (No. 221)
Inequivalent atoms, fractional coordinates:
Mn1 0.0000 0.0000 0.0000 x1
P1 0.5000 0.5000 0.5000 x1
Pt1 0.0000 0.5000 0.5000 x3



Need the numbers? Relative energies in eV/atom: arrangement 1 1.134; arrangement 2 0.000.



Arrangement 1

Entry from Alexandria via LeMat-Bulk: crystalline MnP2RuPt at its relaxed geometry (PBE).

Output
Crystal system: monoclinic
N(E_F) (states/eV/cell): 5.6

abc: 7.9552 3.4360 5.6486
angles: 90.00 109.18 90.00
Space group Cm (No. 8)
Inequivalent atoms, fractional coordinates:
Mn1 0.0000 0.0000 0.0000 x2
P1 0.3095 0.0000 0.0524 x2
P2 0.4929 0.5000 0.4346 x2
Ru1 0.2979 0.0000 0.4546 x2
Pt1 0.1527 0.5000 0.7559 x2



Arrangement 2

Entry from Alexandria via LeMat-Bulk: crystalline MnP2RuPt at its relaxed geometry (PBE).

Output
Crystal system: monoclinic
N(E_F) (states/eV/cell): 2.9

abc: 4.1367 3.6316 5.2647
angles: 90.00 95.88 90.00
Space group Pm (No. 6)
Inequivalent atoms, fractional coordinates:
Mn1 0.0000 0.0000 0.0000 x1
P1 0.5359 0.0000 0.1908 x1
P2 0.9652 0.5000 0.7251 x1
Ru1 0.4955 0.5000 0.9145 x1
Pt1 0.1573 0.0000 0.5015 x1



Need the numbers? Relative energies in eV/atom: arrangement 1 0.049; arrangement 2 0.000.



Arrangement 1

Entry from Alexandria via LeMat-Bulk: crystalline MnP2PtS at its relaxed geometry (PBE).

Output
Crystal system: tetragonal
N(E_F) (states/eV/cell): 5.8

abc: 4.6017 4.6017 4.9385
angles: 90.00 90.00 90.00
Space group P4/mmm (No. 123)
Inequivalent atoms, fractional coordinates:
Mn1 0.0000 0.0000 0.0000 x1
P1 0.0000 0.5000 0.5000 x2
Pt1 0.5000 0.5000 0.5000 x1
S1 0.5000 0.5000 0.0000 x1



Arrangement 2

Entry from Alexandria via LeMat-Bulk: crystalline MnP2PtS at its relaxed geometry (PBE).

Output
Crystal system: tetragonal
N(E_F) (states/eV/cell): 4.5

abc: 4.4218 4.4218 4.1860
angles: 90.00 90.00 90.00
Space group P4/mmm (No. 123)
Inequivalent atoms, fractional coordinates:
Mn1 0.0000 0.0000 0.0000 x1
P1 0.0000 0.5000 0.0000 x2
Pt1 0.5000 0.5000 0.5000 x1
S1 0.0000 0.0000 0.5000 x1



Need the numbers? Relative energies in eV/atom: arrangement 1 0.698; arrangement 2 0.000.



Arrangement 1

Entry from Alexandria via LeMat-Bulk: crystalline RbMnP2 at its relaxed geometry (PBE).

Output
Crystal system: tetragonal
N(E_F) (states/eV/cell): 0.0

abc: 6.1166 6.1166 11.2731
angles: 90.00 90.00 90.00
Space group I4_1/amd (No. 141, origin choice 2)
Inequivalent atoms, fractional coordinates:
Rb1 0.0000 0.2500 0.3750 x4
Mn1 0.0000 0.2500 0.8750 x4
P1 0.0000 0.0000 0.0000 x8



Arrangement 2

Entry from Alexandria via LeMat-Bulk: crystalline RbMnP2 at its relaxed geometry (PBE).

Output
Crystal system: cubic
N(E_F) (states/eV/cell): 9.6

abc: 6.9312 6.9312 6.9312
angles: 90.00 90.00 90.00
Space group Fm-3m (No. 225)
Inequivalent atoms, fractional coordinates:
Rb1 0.0000 0.0000 0.0000 x4
Mn1 0.0000 0.0000 0.5000 x4
P1 0.2500 0.2500 0.2500 x8



Need the numbers? Relative energies in eV/atom: arrangement 1 0.000; arrangement 2 1.031.



Arrangement 1

Entry from Alexandria via LeMat-Bulk: crystalline RbMnP2S at its relaxed geometry (PBE).

Output
Crystal system: tetragonal
N(E_F) (states/eV/cell): 8.5

abc: 4.3761 4.3761 5.4271
angles: 90.00 90.00 90.00
Space group P4/mmm (No. 123)
Inequivalent atoms, fractional coordinates:
Rb1 0.0000 0.0000 0.0000 x1
Mn1 0.5000 0.5000 0.5000 x1
P1 0.0000 0.5000 0.5000 x2
S1 0.5000 0.5000 0.0000 x1



Arrangement 2

Entry from Alexandria via LeMat-Bulk: crystalline RbMnP2S at its relaxed geometry (PBE).

Output
Crystal system: tetragonal
N(E_F) (states/eV/cell): 6.4

abc: 5.3882 5.3882 5.5083
angles: 90.00 90.00 90.00
Space group P4/mmm (No. 123)
Inequivalent atoms, fractional coordinates:
Rb1 0.0000 0.0000 0.0000 x1
Mn1 0.5000 0.5000 0.5000 x1
P1 0.0000 0.5000 0.0000 x2
S1 0.0000 0.0000 0.5000 x1



Need the numbers? Relative energies in eV/atom: arrangement 1 0.000; arrangement 2 1.879.



Arrangement 1

Entry from Alexandria via LeMat-Bulk: crystalline MnRe3P at its relaxed geometry (PBE).

Output
Crystal system: cubic
N(E_F) (states/eV/cell): 3.2

abc: 4.3642 4.3642 4.3642
angles: 90.00 90.00 90.00
Space group Pm-3m (No. 221)
Inequivalent atoms, fractional coordinates:
Mn1 0.0000 0.0000 0.0000 x1
Re1 0.0000 0.5000 0.5000 x3
P1 0.5000 0.5000 0.5000 x1



Arrangement 2

Entry from Alexandria via LeMat-Bulk: crystalline MnRe3P at its relaxed geometry (PBE).

Output
Crystal system: cubic
N(E_F) (states/eV/cell): 7.3

abc: 4.4262 4.4262 4.4262
angles: 90.00 90.00 90.00
Space group Pm-3m (No. 221)
Inequivalent atoms, fractional coordinates:
Mn1 0.0000 0.0000 0.0000 x1
Re1 0.0000 0.0000 0.5000 x3
P1 0.5000 0.5000 0.5000 x1



Need the numbers? Relative energies in eV/atom: arrangement 1 0.000; arrangement 2 0.915.